! HfTlAsSe2 (PBE-GGA, relaxed); values from VASP
&SYSTEM
  ibrav = 0, nat = 5, ntyp = 4
/
ATOMIC_SPECIES
Hf 178.49 Hf.upf
Se 78.96 Se.upf
As 74.92 As.upf
Tl 204.38 Tl.upf
ATOMIC_POSITIONS crystal
Hf 0.000 0.000 0.000
Se 0.000 0.500 0.000
Se 0.500 0.000 0.000
As 0.000 0.000 0.500
Tl 0.500 0.500 0.500
CELL_PARAMETERS angstrom
-0.457 -1.230 5.048
3.971 -3.350 -0.457
3.378 3.835 1.241
! ΔE_f (raw) in kJ per mole of atoms: -43.9
! Raw total energy in eV/atom: -5.24
! Fermi-level density of states in states/eV per cell: 4.23